1.
Below is AcSn3Pd3 after structural relaxation, with properties calculated at the PBE level.

## Properties
total magnetization	0.00	μB per formula unit
ΔE_f	-0.539	eV per atom
E above lowest polymorph	0.0	kJ per mole of atoms
energy	-0.1862	hartree per atom
calculated volume	24.52	Å³ per atom
N(E_F)	22.898	states/eV/cell

a b c (Å): 8.8537 8.8537 15.1727
angles (deg): 90.00 90.00 120.00
Space group R-3 (No. 148, hexagonal axes)
One atom of each set of equivalent atoms:
1 Ac 0.0000 0.0000 0.1564 [6 per cell]
2 Sn 0.0253 0.7949 0.6306 [18 per cell]
3 Pd 0.0112 0.6506 0.1267 [18 per cell]

2.
Below is Ta2HgH after structural relaxation, with properties calculated at the PBE level.

## Properties
total magnetization	0.00	μB per formula unit
E above lowest polymorph	0.0	kJ per mole of atoms
energy	-0.2301	hartree per atom
calculated volume	16.92	Å³ per atom
N(E_F)	9.003	states/eV/cell

a b c (Å): 5.765 5.765 8.145
angles (deg): 90.00 90.00 90.00
Space group I-42d (No. 122)
One atom of each set of equivalent atoms:
1 Ta 0.002 0.250 0.125 [8 per cell]
2 Hg 0.000 0.000 0.500 [4 per cell]
3 H 0.000 0.000 0.000 [4 per cell]

3.
Below is TaPSe2 after structural relaxation, with properties calculated at the PBE level.

## Properties
total magnetization	0.00	μB per formula unit
energy	-0.2087	hartree per atom
calculated volume	17.33	Å³ per atom
N(E_F)	2.762	states/eV/cell
ΔE_f (raw)	0.38	eV/atom

a b c (Å): 4.674 4.674 3.174
angles (deg): 90.00 90.00 90.00
Space group P4/mmm (No. 123)
One atom of each set of equivalent atoms:
1 Ta 0.000 0.000 0.000 [1 per cell]
2 P 0.500 0.500 0.000 [1 per cell]
3 Se 0.000 0.500 0.500 [2 per cell]

4.
Below is Sc2HgBr after structural relaxation, with properties calculated at the PBE level.

## Properties
total magnetization	0.00	μB per formula unit
E above lowest polymorph	14.7	kJ per mole of atoms
energy	-0.1505	hartree per atom
calculated volume	26.37	Å³ per atom
N(E_F)	13.003	states/eV/cell
ΔE_f (raw)	-0.44	eV/atom

a b c (Å): 3.5797 3.5797 28.5158
angles (deg): 90.00 90.00 120.00
Space group R-3m (No. 166, hexagonal axes)
One atom of each set of equivalent atoms:
1 Sc 0.0000 0.0000 0.0908 [6 per cell]
2 Hg 0.0000 0.0000 0.5000 [3 per cell]
3 Br 0.0000 0.0000 0.0000 [3 per cell]